[1]
A geometry-optimized CaNb2Os structure, computed with PBE.

## Properties
V (Å³/cell): 72.6
Energy of formation (meV/atom): 391
Size of the total moment (μB per cell): 0.0

Structure (extended XYZ):
```
4
Lattice="0.000 3.312 3.312 3.312 0.000 3.312 3.312 3.312 0.000" Properties=species:S:1:pos:R:3 pbc="T T T"
Ca 0.000 0.000 0.000
Nb 1.656 1.656 1.656
Nb 4.967 4.967 4.967
Os 3.312 3.312 3.312
```

=====

[2]
A geometry-optimized CaNb2Os2 structure, computed with PBE.

## Properties
V (Å³/cell): 104.5
Energy of formation (meV/atom): -102
Size of the total moment (μB per cell): 0.0

Structure (extended XYZ):
```
5
Lattice="-2.200 2.200 5.398 2.200 -2.200 5.398 2.200 2.200 -5.398" Properties=species:S:1:pos:R:3 pbc="T T T"
Ca 0.000 0.000 0.000
Nb 2.200 0.000 2.699
Nb 0.000 2.200 2.699
Os 0.000 0.000 4.122
Os 0.000 0.000 6.674
```

=====

[3]
A geometry-optimized CaNbOs3 structure, computed with PBE.

## Properties
V (Å³/cell): 95.5
Energy of formation (meV/atom): 2768
Size of the total moment (μB per cell): 0.0

Structure (extended XYZ):
```
5
Lattice="4.571 0.000 0.000 0.000 4.571 0.000 0.000 0.000 4.571" Properties=species:S:1:pos:R:3 pbc="T T T"
Ca 0.000 0.000 0.000
Nb 2.285 2.285 2.285
Os 0.000 0.000 2.285
Os 0.000 2.285 0.000
Os 2.285 0.000 0.000
```

=====

[4]
A geometry-optimized CaNb2Os structure, computed with PBE.

## Properties
V (Å³/cell): 176.5
Energy of formation (meV/atom): 553
Size of the total moment (μB per cell): 0.0

Structure (extended XYZ):
```
8
Lattice="-3.888 3.888 2.919 3.888 -3.888 2.919 3.888 3.888 -2.919" Properties=species:S:1:pos:R:3 pbc="T T T"
Ca 0.000 0.000 0.000
Ca 0.000 3.888 1.460
Nb 1.944 -1.449 2.189
Nb 2.438 1.944 0.730
Nb 1.944 5.337 -0.730
Nb 1.449 1.944 3.649
Os 3.888 0.000 1.460
Os 0.000 0.000 2.919
```

=====

[5]
A geometry-optimized CaNb2Os2 structure, computed with PBE.

## Properties
V (Å³/cell): 187.6
Energy of formation (meV/atom): 40
Size of the total moment (μB per cell): 0.0

Structure (extended XYZ):
```
10
Lattice="7.883 0.000 0.000 0.000 7.883 0.000 0.000 0.000 3.018" Properties=species:S:1:pos:R:3 pbc="T T T"
Ca 0.000 0.000 0.000
Ca 3.942 3.942 0.000
Nb 1.170 2.772 1.509
Nb 2.772 6.713 1.509
Nb 5.111 1.170 1.509
Nb 6.713 5.111 1.509
Os 1.120 5.062 0.000
Os 2.821 1.120 0.000
Os 5.062 6.763 0.000
Os 6.763 2.821 0.000
```

=====

[6]
A geometry-optimized CaNbP2Os structure, computed with PBE.

## Properties
V (Å³/cell): 88.2
Energy of formation (meV/atom): -625
Size of the total moment (μB per cell): 0.0

Structure (extended XYZ):
```
5
Lattice="-2.095 2.095 5.021 2.095 -2.095 5.021 2.095 2.095 -5.021" Properties=species:S:1:pos:R:3 pbc="T T T"
Ca 0.000 0.000 0.000
Nb 2.095 0.000 2.510
P 0.000 0.000 3.770
P 0.000 0.000 6.272
Os 0.000 2.095 2.510
```

=====

[7]
A geometry-optimized CaNb2POs structure, computed with PBE.

## Properties
V (Å³/cell): 101.5
Energy of formation (meV/atom): 2470
Size of the total moment (μB per cell): 0.1

Structure (extended XYZ):
```
5
Lattice="4.662 0.000 0.000 0.000 4.662 0.000 0.000 0.000 4.669" Properties=species:S:1:pos:R:3 pbc="T T T"
Ca 0.000 0.000 0.000
Nb 0.000 2.331 0.000
Nb 2.331 0.000 0.000
P 0.000 0.000 2.335
Os 2.331 2.331 2.335
```

=====

[8]
A geometry-optimized Ca2NbOsPb structure, computed with PBE.

## Properties
V (Å³/cell): 148.3
Energy of formation (meV/atom): 457
Size of the total moment (μB per cell): 0.8

Structure (extended XYZ):
```
5
Lattice="5.556 0.000 0.000 0.000 5.556 0.000 0.000 0.000 4.805" Properties=species:S:1:pos:R:3 pbc="T T T"
Ca 0.000 2.778 0.000
Ca 2.778 0.000 0.000
Nb 0.000 0.000 2.403
Os 0.000 0.000 0.000
Pb 2.778 2.778 2.403
```